#1
## CaMo2Ru (PBE)

Data for a relaxed CaMo2Ru crystal.

abc: 5.4863 5.4863 2.7149
angles: 90.00 90.00 122.26
Sites, in units of the cell vectors:
Ru 0.5000 0.0000 0.5000
Mo 0.0000 0.0000 0.0000
Mo 0.5000 0.5000 0.0000
Ca 0.0000 0.5000 0.5000

Symmetry   No. 65
Total magnetization   0.00 μB per formula unit

#2
## CaMo2Ru (PBE)

Data for a relaxed CaMo2Ru crystal.

abc: 3.1212 4.4912 4.8828
angles: 90.00 90.00 90.00
Sites, in units of the cell vectors:
Ru 0.5000 0.0000 0.5000
Mo 0.0000 0.0000 0.0000
Mo 0.5000 0.5000 0.0000
Ca 0.0000 0.5000 0.5000

Symmetry   No. 47
Total magnetization   0.00 μB per formula unit

Which of them is the most stable? Correct choice: #2.

#1
## BeZnSe2 (PBE)

Data for a relaxed BeZnSe2 crystal.

abc: 5.1834 5.1834 6.3163
angles: 65.78 65.78 90.00
Sites, in units of the cell vectors:
Be 0.5000 0.5000 0.0000
Be 0.2500 0.7500 0.5000
Zn 0.0000 0.0000 0.0000
Zn 0.7500 0.2500 0.5000
Se 0.7312 0.7312 0.5376
Se 0.0188 0.5188 0.9624
Se 0.2688 0.2688 0.4624
Se 0.4812 0.9812 0.0376

Symmetry   No. 141
Total magnetization   0.00 μB per formula unit

#2
## BeZnSe2 (PBE)

Data for a relaxed BeZnSe2 crystal.

abc: 7.7371 3.8428 5.4575
angles: 90.00 89.99 90.00
Sites, in units of the cell vectors:
Be 0.9634 0.7241 0.2916
Be 0.7335 0.2242 0.7917
Zn 0.4857 0.7249 0.2945
Zn 0.2113 0.2248 0.7945
Se 0.7418 0.7243 0.0221
Se 0.4896 0.2248 0.5724
Se 0.2075 0.7247 0.0725
Se 0.9553 0.2242 0.5222

Symmetry   No. 31
Total magnetization   0.00 μB per formula unit

Which of them is the most stable? Correct choice: #2.

#1
## B2C (PBE)

Data for a relaxed B2C crystal.

abc: 7.1606 7.1606 4.9041
angles: 74.79 74.79 21.37
Sites, in units of the cell vectors:
B 0.6396 0.6396 0.0394
B 0.7889 0.7889 0.1838
B 0.8759 0.8759 0.5666
B 0.9968 0.9968 0.3265
B 0.0032 0.0032 0.6735
B 0.1241 0.1241 0.4334
B 0.2111 0.2111 0.8162
B 0.3604 0.3604 0.9606
C 0.6799 0.6799 0.3334
C 0.3201 0.3201 0.6666
C 0.4783 0.4783 0.8774
C 0.5217 0.5217 0.1226

Symmetry   No. 12
Total magnetization   0.00 μB per formula unit

#2
## B2C (PBE)

Data for a relaxed B2C crystal.

abc: 6.2025 6.2025 6.2025
angles: 154.47 154.47 36.41
Sites, in units of the cell vectors:
B 0.6852 0.6852 0.0000
B 0.0648 0.5648 0.5000
B 0.4352 0.9352 0.5000
B 0.3148 0.3148 0.0000
C 0.0000 0.0000 0.0000
C 0.7500 0.2500 0.5000

Symmetry   No. 141
Total magnetization   0.00 μB per formula unit

Which of them is the most stable? Correct choice: #2.

#1
## SiPIr2 (PBE)

Data for a relaxed SiPIr2 crystal.

abc: 2.8679 2.8679 8.0919
angles: 90.00 90.00 119.57
Sites, in units of the cell vectors:
Ir 0.0000 0.0000 0.9738
Ir 0.5000 0.5000 0.2771
P 0.0000 0.0000 0.5051
Si 0.5000 0.5000 0.7440

Symmetry   No. 35
Total magnetization   0.00 μB per formula unit

#2
## SiPIr2 (PBE)

Data for a relaxed SiPIr2 crystal.

abc: 3.3420 3.3420 5.0366
angles: 90.00 90.00 90.00
Sites, in units of the cell vectors:
Ir 0.0000 0.0000 0.9394
Ir 0.5000 0.5000 0.3159
P 0.0000 0.0000 0.4544
Si 0.5000 0.5000 0.7904

Symmetry   No. 99
Total magnetization   0.00 μB per formula unit

Which of them is the most stable? Correct choice: #2.